Ca2CrRe GGA-PBE optimized geometry; offset from the most stable computed form = 656 meV per atom; ΔH_f (0 K) = 4.181 eV/f.u.; calculated density = 5.99 g/cm3; electronic total energy = -21.9 eV/f.u.
1.0
1.572 0.908 10.314
-1.572 0.908 10.314
0.000 -1.815 10.314
Ca Cr Re
2 1 1
Cartesian
0.000 0.000 7.567
0.000 0.000 23.375
0.000 0.000 0.000
0.000 0.000 15.471